1.
The following is a DFT calculation (GGA-PBE) of BaZnCuSn2 after structural relaxation.

Structure (POSCAR):
```
BaZnCuSn2
1.0
-0.3859 4.0659 2.3895
-3.8661 1.1003 -2.4966
-1.1265 -5.1793 3.9460
Cu Sn Zn Ba
1 2 1 1
Direct
0.2500 0.7500 0.5000
0.3695 0.3695 0.7389
0.6305 0.6305 0.2611
0.7500 0.2500 0.5000
0.0000 0.0000 0.0000
```

Results
- Final energy: -3.4166 eV per atom
- Volume: 25.5 Å³/atom
- SG: No. 119


2.
The following is a DFT calculation (GGA-PBE) of Ba3SrCu after structural relaxation.

Structure (POSCAR):
```
Ba3SrCu
1.0
4.5763 0.0000 0.0000
0.0000 9.5658 -4.9523
0.0000 -0.8144 11.8711
Ba Cu Sr
6 2 2
Direct
0.7500 0.9549 0.3332
0.7500 0.3912 0.7293
0.2500 0.0451 0.6669
0.2500 0.6088 0.2707
0.7500 0.2271 0.0189
0.2500 0.7729 0.9811
0.7500 0.5654 0.0450
0.2500 0.4346 0.9550
0.7500 0.6990 0.6214
0.2500 0.3010 0.3786
```

Results
- Energy relative to the lowest polymorph listed for this composition: 8 meV/atom
- Volume: 50.1 Å³/atom
- SG: No. 11


3.
The following is a DFT calculation (GGA-PBE) of Ba4Sr2Cu after structural relaxation.

Structure (POSCAR):
```
Ba4Sr2Cu
1.0
6.2516 0.0000 0.0000
0.0000 6.2516 0.0000
3.1258 3.1258 10.6852
Ba Sr Cu
4 2 1
Direct
0.1540 0.1540 0.6920
0.8460 0.8460 0.3080
0.5000 0.0000 0.0000
0.0000 0.5000 0.0000
0.6481 0.6481 0.7039
0.3519 0.3519 0.2961
0.0000 0.0000 0.0000
```

Results
- Final energy: -2.0308 eV per atom
- Volume: 59.7 Å³/atom
- SG: No. 139


4.
The following is a DFT calculation (GGA-PBE) of BaSrCu4 after structural relaxation.

Structure (POSCAR):
```
BaSrCu4
1.0
0.0000 3.9839 3.9839
3.9839 0.0000 3.9839
3.9839 3.9839 0.0000
Ba Cu Sr
1 4 1
Direct
0.0000 0.0000 0.0000
0.3818 0.8547 0.3818
0.3818 0.3818 0.3818
0.8547 0.3818 0.3818
0.3818 0.3818 0.8547
0.7500 0.7500 0.7500
```

Results
- Energy relative to the lowest polymorph listed for this composition: 160 meV/atom
- Volume: 21.1 Å³/atom
- SG: No. 216